(1)
Li3Mg2Ir: optimized geometry, PBE.

Lattice parameters (Å, degrees): 4.083 6.341 9.427 112.96 90.00 108.78
Element x y z (fractional)
Li 0.297 0.594 0.648
Li 0.944 0.888 0.635
Li 0.635 0.269 0.628
Li 0.365 0.731 0.372
Li 0.056 0.112 0.365
Li 0.703 0.406 0.352
Mg 0.529 0.059 0.876
Mg 0.471 0.941 0.124
Mg 0.778 0.555 0.119
Mg 0.222 0.445 0.881
Ir 0.880 0.761 0.898
Ir 0.120 0.239 0.102

## Properties
- formation enthalpy at 0 K (eV/atom) = -0.12



(2)
MgPaPt4: optimized geometry, PBE.

Lattice parameters (Å, degrees): 3.605 5.125 6.859 101.19 74.76 69.41
Element x y z (fractional)
Mg 0.000 0.000 0.000
Pa 0.500 0.500 0.500
Pt 0.817 0.528 0.838
Pt 0.342 0.988 0.327
Pt 0.183 0.472 0.162
Pt 0.658 0.012 0.673

## Properties
- formation enthalpy at 0 K (eV/atom) = -0.80



(3)
Li12Cd6Ag: optimized geometry, PBE.

Lattice parameters (Å, degrees): 7.173 7.173 7.173 90.90 90.90 90.90
Element x y z (fractional)
Li 0.801 0.528 0.436
Li 0.436 0.801 0.528
Li 0.528 0.436 0.801
Li 0.199 0.472 0.564
Li 0.564 0.199 0.472
Li 0.472 0.564 0.199
Li 0.034 0.151 0.371
Li 0.849 0.629 0.966
Li 0.629 0.966 0.849
Li 0.966 0.849 0.629
Li 0.151 0.371 0.034
Li 0.371 0.034 0.151
Cd 0.724 0.883 0.274
Cd 0.726 0.276 0.117
Cd 0.117 0.726 0.276
Cd 0.276 0.117 0.726
Cd 0.274 0.724 0.883
Cd 0.883 0.274 0.724
Ag 0.000 0.000 0.000

## Properties
- formation enthalpy at 0 K (eV/atom) = -0.17



(4)
InSb2Pb: optimized geometry, PBE.

Lattice parameters (Å, degrees): 5.417 3.245 6.739 89.33 90.00 90.00
Element x y z (fractional)
In 0.000 0.486 0.491
Pb 0.500 0.977 0.740
Sb 0.000 0.018 0.019
Sb 0.500 0.019 0.250

## Properties
- raw formation energy (meV/atom) = 68.0



(5)
CdSb2Mo2: optimized geometry, PBE.

Lattice parameters (Å, degrees): 7.564 7.564 3.490 90.00 90.00 90.00
Element x y z (fractional)
Sb 0.154 0.654 0.500
Sb 0.654 0.846 0.500
Sb 0.846 0.346 0.500
Sb 0.346 0.154 0.500
Mo 0.361 0.861 0.000
Mo 0.861 0.639 0.000
Mo 0.639 0.139 0.000
Mo 0.139 0.361 0.000
Cd 0.000 0.000 0.000
Cd 0.500 0.500 0.000

## Properties
- raw formation energy (meV/atom) = 235.0



(6)
Ba3RuO7: optimized geometry, PBE.

Lattice parameters (Å, degrees): 5.747 7.900 7.900 90.00 90.00 90.00
Last column: magnetic moment on the atom in μB.
Element x y z (fractional)
Ba 0.500 0.181 0.681  0.00
Ba 0.500 0.681 0.819  0.00
Ba 0.500 0.319 0.181  0.00
Ba 0.500 0.819 0.319  0.00
Ba 0.000 0.500 0.500  0.00
Ba 0.000 0.000 0.000  0.00
Ru 0.000 0.000 0.500  -0.10
Ru 0.000 0.500 0.000  -0.10
O 0.765 0.382 0.882  0.01
O 0.765 0.618 0.118  0.01
O 0.765 0.118 0.382  0.01
O 0.765 0.882 0.618  0.01
O 0.235 0.382 0.882  0.01
O 0.235 0.882 0.618  0.01
O 0.235 0.118 0.382  0.01
O 0.235 0.618 0.118  0.01
O 0.500 0.000 0.000  0.14
O 0.500 0.500 0.500  0.14
O 0.000 0.831 0.331  -0.02
O 0.000 0.331 0.169  -0.02
O 0.000 0.669 0.831  -0.02
O 0.000 0.169 0.669  -0.02

## Properties
- raw formation energy (meV/atom) = -1783.0



(7)
Sr2ScPaP4: optimized geometry, PBE.

Lattice parameters (Å, degrees): 4.118 6.984 7.287 108.87 90.00 90.00
Element x y z (fractional)
Sr 0.500 0.000 0.500
Sr 0.000 0.500 0.500
Sc 0.500 0.500 0.000
Pa 0.000 0.000 0.000
P 0.500 0.239 0.212
P 0.500 0.761 0.788
P 0.000 0.263 0.791
P 0.000 0.737 0.209

## Properties
- formation enthalpy at 0 K (eV/atom) = -1.26



(8)
KZn2Mo: optimized geometry, PBE.

Lattice parameters (Å, degrees): 3.949 2.809 8.076 69.78 90.00 90.00
Last column: magnetic moment on the atom in μB.
Element x y z (fractional)
K 0.500 0.250 0.250  0.00
Mo 0.500 0.750 0.750  0.17
Zn 0.000 0.082 0.919  0.00
Zn 0.000 0.418 0.581  0.00

## Properties
- formation enthalpy at 0 K (eV/atom) = 0.42